The following is a DFT calculation (GGA-PBE) of Er11Tl4Cd9 after structural relaxation.

Unit cell a=3.6640 b=13.4746 c=13.4746 alpha=110.10 beta=90.00 gamma=90.00
Atoms (fractional coordinates):
Cd: 0.5000 0.9727 0.8001
Tl: 0.5000 0.2634 0.4398
Cd: 0.5000 0.8001 0.9727
Cd: 0.5000 0.5000 0.5000
Er: 0.0000 0.9379 0.5928
Er: 0.0000 0.2376 0.2376
Er: 0.0000 0.6463 0.3537
Cd: 0.5000 0.1452 0.6215
Cd: 0.5000 0.8548 0.3785
Er: 0.0000 0.7624 0.7624
Er: 0.0000 0.8249 0.1751
Cd: 0.5000 0.0273 0.1999
Cd: 0.5000 0.1999 0.0273
Er: 0.0000 0.5928 0.9379
Er: 0.0000 0.1751 0.8249
Tl: 0.5000 0.5602 0.7366
Cd: 0.5000 0.3785 0.8548
Tl: 0.5000 0.7366 0.5602
Tl: 0.5000 0.4398 0.2634
Er: 0.0000 0.4072 0.0621
Er: 0.0000 0.0621 0.4072
Er: 0.0000 0.3537 0.6463
Cd: 0.5000 0.6215 0.1452
Er: 0.0000 0.0000 0.0000

Properties
DFT formation energy   -0.28 eV/atom
Density   9.75 g/cm³